{"formula": "CaInCu2", "functional": "PBE-GGA", "state": "relaxed", "cell": [[-2.175, 2.175, 4.119], [2.175, -2.175, 4.119], [2.175, 2.175, -4.119]], "species": ["Ca", "In", "Cu", "Cu"], "frac_coords": [[0.000, 0.000, 0.000], [0.750, 0.250, 0.500], [0.250, 0.750, 0.500], [0.500, 0.500, 0.000]], "crystal_system": "tetragonal", "dos_at_fermi_per_ev_atom": 0.375, "ef_mev_per_atom": 19.0, "magmom_total_mub_per_fu": 0.00}